(1)
{
  "formula": "BaNaRu2O8",
  "functional": "PBE",
  "state": "optimized geometry",
  "lattice": [[5.462, -3.801, 0.000], [5.462, 3.801, 0.000], [-1.773, 0.000, 5.023]],
  "species": ["Ba", "Na", "Ru", "Ru", "O", "O", "O", "O", "O", "O", "O", "O"],
  "fractional_positions": [[0.000, 0.000, 0.000], [0.500, 0.500, 0.500], [0.300, 0.300, 0.809], [0.700, 0.700, 0.191], [0.133, 0.133, 0.614], [0.198, 0.570, 0.750], [0.301, 0.301, 0.144], [0.430, 0.802, 0.250], [0.570, 0.198, 0.750], [0.699, 0.699, 0.856], [0.802, 0.430, 0.250], [0.867, 0.867, 0.386]],
  "formation_energy_uncorrected_ev_per_atom": -1.291
}



(2)
{
  "formula": "Pr10Tl3Te3",
  "functional": "PBE",
  "state": "optimized geometry",
  "lattice": [[9.448, 0.000, 0.000], [-4.724, 8.182, 0.000], [0.000, 0.000, 6.663]],
  "species": ["Pr", "Pr", "Pr", "Pr", "Pr", "Pr", "Pr", "Pr", "Pr", "Pr", "Tl", "Tl", "Tl", "Te", "Te", "Te"],
  "fractional_positions": [[0.000, 0.246, 0.000], [0.000, 0.756, 0.500], [0.244, 0.244, 0.500], [0.246, 0.000, 0.000], [0.333, 0.667, 0.247], [0.333, 0.667, 0.753], [0.667, 0.333, 0.247], [0.667, 0.333, 0.753], [0.754, 0.754, 0.000], [0.756, 0.000, 0.500], [0.000, 0.390, 0.500], [0.390, 0.000, 0.500], [0.610, 0.610, 0.500], [0.000, 0.616, 0.000], [0.384, 0.384, 0.000], [0.616, 0.000, 0.000]],
  "formation_energy_uncorrected_ev_per_atom": -0.701
}



(3)
{
  "formula": "Ba2NaMgZn",
  "functional": "PBE",
  "state": "optimized geometry",
  "lattice": [[6.513, 0.000, 0.000], [0.000, 6.513, 0.000], [0.000, 0.000, 5.225]],
  "species": ["Ba", "Ba", "Na", "Mg", "Zn"],
  "fractional_positions": [[0.000, 0.500, 0.000], [0.500, 0.000, 0.000], [0.000, 0.000, 0.500], [0.500, 0.500, 0.500], [0.500, 0.500, 0.000]],
  "delta_e_f_ev_per_atom": 0.016
}



no.,size of the total moment (μB/f.u.)
1,3.023
2,0.660
3,0.000